Computed, not measured: a crystal of MgCoSe2 relaxed with PBEsol at the SCAN level of DFT.

Values from the calculation:
Magnetic moment = 2.742 μB/f.u.
Calculated volume = 16.622 A^3/atom
Raw formation energy = -0.60 eV per formula unit
Energy above the lowest structure with this stoichiometry = 194 kJ/mol of formula units

a b c (Å): 6.4308 6.4308 6.4308
angles (deg): 90.00 90.00 90.00
With the nearest neighbours (Å) after each atom.
Space group Fm-3m (No. 225)
One atom of each set of equivalent atoms:
Mg: 0.0000 0.0000 0.0000 [4 per cell]  8 Se 2.78
Co: 0.0000 0.0000 0.5000 [4 per cell]  8 Se 2.78
Se: 0.2500 0.2500 0.2500 [8 per cell]  4 Co 2.78, 4 Mg 2.78

---

Computed, not measured: a crystal of YAg4 relaxed with PBEsol at the SCAN level of DFT.

Values from the calculation:
Magnetic moment = 0.000 μB/f.u.
Calculated volume = 20.084 A^3/atom
Formation enthalpy at 0 K = -62 kJ/mol of formula units

a b c (Å): 3.9085 3.9085 13.1468
angles (deg): 90.00 90.00 90.00
With the nearest neighbours (Å) after each atom.
Space group I4/mmm (No. 139)
One atom of each set of equivalent atoms:
Y: 0.0000 0.0000 0.0000 [2 per cell]  8 Ag 3.07
Ag: 0.0000 0.0000 0.3984 [4 per cell]  5 Ag 2.67-2.76
Ag: 0.0000 0.5000 0.2500 [4 per cell]  8 Ag 2.76

---

Computed, not measured: a crystal of Hf2ScTlRe relaxed with PBEsol at the SCAN level of DFT.

Values from the calculation:
Magnetic moment = 1.736 μB/f.u.
Calculated volume = 25.972 A^3/atom
Formation enthalpy at 0 K = 837 kJ/mol of formula units

a b c (Å): 5.1136 5.1136 4.9662
angles (deg): 90.00 90.00 90.00
With the nearest neighbours (Å) after each atom.
Space group P4/mmm (No. 123)
One atom of each set of equivalent atoms:
Hf: 0.0000 0.5000 0.0000 [2 per cell]  2 Tl 2.56
Sc: 0.0000 0.0000 0.5000 [1 per cell]  2 Tl 2.48
Tl: 0.0000 0.0000 0.0000 [1 per cell]  2 Sc 2.48, 4 Hf 2.56
Re: 0.5000 0.5000 0.5000 [1 per cell]  8 Hf 3.56, 4 Sc 3.62

---

Computed, not measured: a crystal of AuCl2 relaxed with PBEsol at the SCAN level of DFT.

Values from the calculation:
Magnetic moment = 0.927 μB/f.u.
Calculated volume = 24.836 A^3/atom
Raw formation energy = -0.70 eV per formula unit

a b c (Å): 7.0009 3.6306 11.7256
angles (deg): 90.00 90.00 90.00
With the nearest neighbours (Å) after each atom.
Space group Pnma (No. 62)
One atom of each set of equivalent atoms:
Au: 0.2478 0.2500 0.0631 [4 per cell]  4 Cl 2.41-2.42
Cl: 0.2421 0.7500 0.1978 [4 per cell]  2 Au 2.41
Cl: 0.2464 0.2500 0.4266 [4 per cell]  2 Au 2.42

---

Computed, not measured: a crystal of SrTl2Cd relaxed with PBEsol at the SCAN level of DFT.

Values from the calculation:
Magnetic moment = 0.000 μB/f.u.
Calculated volume = 28.956 A^3/atom
Formation enthalpy at 0 K = -99 kJ/mol of formula units

a b c (Å): 3.7408 5.0976 6.1360
angles (deg): 90.00 98.16 90.00
With the nearest neighbours (Å) after each atom.
Space group Pm (No. 6)
One atom of each set of equivalent atoms:
Sr: 0.0000 0.0000 0.0000 [1 per cell]  5 Tl 3.33-3.52, 4 Cd 3.42-3.45
Tl: 0.4125 0.0000 0.5187 [1 per cell]  2 Cd 3.00, 2 Tl 3.19, 1 Sr 3.33
Tl: 0.7483 0.5000 0.3113 [1 per cell]  2 Tl 3.19, 2 Cd 3.24-3.31, 2 Sr 3.40
Cd: 0.4396 0.5000 0.7780 [1 per cell]  4 Tl 3.00-3.31

---

Computed, not measured: a crystal of Mg2AsI relaxed with PBEsol at the SCAN level of DFT.

Values from the calculation:
Magnetic moment = 0.000 μB/f.u.
Calculated volume = 23.017 A^3/atom
Raw formation energy = -0.46 eV per formula unit

a b c (Å): 7.1679 7.1679 7.1679
angles (deg): 90.00 90.00 90.00
With the nearest neighbours (Å) after each atom.
Space group Fm-3m (No. 225)
One atom of each set of equivalent atoms:
Mg: 0.2500 0.2500 0.2500 [8 per cell]  4 As 3.10, 4 I 3.10
As: 0.0000 0.0000 0.0000 [4 per cell]  8 Mg 3.10
I: 0.0000 0.0000 0.5000 [4 per cell]  8 Mg 3.10

---

Computed, not measured: a crystal of Cd2CoTe relaxed with PBEsol at the SCAN level of DFT.

Values from the calculation:
Magnetic moment = 1.596 μB/f.u.
Calculated volume = 19.066 A^3/atom
Raw formation energy = 1.76 eV per formula unit

a b c (Å): 4.2693 4.2693 8.3685
angles (deg): 90.00 90.00 90.00
With the nearest neighbours (Å) after each atom.
Space group I-4m2 (No. 119)
One atom of each set of equivalent atoms:
Cd: 0.0000 0.0000 0.0000 [2 per cell]  4 Cd 2.99, 4 Te 2.99, 4 Co 3.02
Cd: 0.0000 0.5000 0.2500 [2 per cell]  4 Cd 2.99, 4 Co 2.99, 4 Te 3.02
Co: 0.0000 0.0000 0.5000 [2 per cell]  8 Cd 2.99-3.02, 4 Te 2.99
Te: 0.0000 0.5000 0.7500 [2 per cell]  8 Cd 2.99-3.02, 4 Co 2.99

---

Computed, not measured: a crystal of YScO3 relaxed with PBEsol at the SCAN level of DFT.

Values from the calculation:
Magnetic moment = 0.000 μB/f.u.
Calculated volume = 12.083 A^3/atom
Raw formation energy = -19.53 eV per formula unit

a b c (Å): 5.6933 7.8630 5.3982
angles (deg): 90.00 90.00 90.00
With the nearest neighbours (Å) after each atom.
Space group Pnma (No. 62)
One atom of each set of equivalent atoms:
Y: 0.0638 0.2500 0.0199 [4 per cell]  4 O 2.21-2.30
Sc: 0.0000 0.0000 0.5000 [4 per cell]  6 O 2.07-2.11
O: 0.0579 0.7500 0.3690 [4 per cell]  2 Sc 2.11, 2 Y 2.21-2.30
O: 0.1936 0.5685 0.8094 [8 per cell]  2 Sc 2.07-2.10, 1 Y 2.24

---

Computed, not measured: a crystal of Ca2ZrRu relaxed with PBEsol at the SCAN level of DFT.

Values from the calculation:
Magnetic moment = 0.218 μB/f.u.
Calculated volume = 30.370 A^3/atom
Formation enthalpy at 0 K = 11 kJ/mol of formula units
Energy above the lowest structure with this stoichiometry = 61 kJ/mol of formula units

a b c (Å): 4.2146 4.2146 23.6891
angles (deg): 90.00 90.00 120.00
With the nearest neighbours (Å) after each atom.
Space group R3m (No. 160, hexagonal axes)
One atom of each set of equivalent atoms:
Ca: 0.0000 0.0000 0.0000 [3 per cell]  3 Ru 3.31, 3 Zr 3.35
Ca: 0.0000 0.0000 0.1934 [3 per cell]  3 Zr 3.33, 3 Ru 3.38
Zr: 0.0000 0.0000 0.7638 [3 per cell]  3 Ru 2.43
Ru: 0.0000 0.0000 0.4279 [3 per cell]  3 Zr 2.43

---

Computed, not measured: a crystal of KMnCu2 relaxed with PBEsol at the SCAN level of DFT.

Values from the calculation:
Magnetic moment = 4.416 μB/f.u.
Calculated volume = 17.265 A^3/atom
Formation enthalpy at 0 K = 293 kJ/mol of formula units

a b c (Å): 3.9808 3.9808 8.7157
angles (deg): 90.00 90.00 90.00
With the nearest neighbours (Å) after each atom.
Space group I-4m2 (No. 119)
One atom of each set of equivalent atoms:
K: 0.0000 0.0000 0.0000 [2 per cell]  8 Cu 2.81-2.95, 4 Mn 2.95
Mn: 0.0000 0.5000 0.2500 [2 per cell]  8 Cu 2.81-2.95, 4 K 2.95
Cu: 0.0000 0.0000 0.5000 [2 per cell]  4 K 2.81, 4 Mn 2.95, 4 Cu 2.95
Cu: 0.0000 0.5000 0.7500 [2 per cell]  4 Mn 2.81, 4 K 2.95, 4 Cu 2.95

---

Computed, not measured: a crystal of PSe3 relaxed with PBEsol at the SCAN level of DFT.

Values from the calculation:
Magnetic moment = 0.000 μB/f.u.
Calculated volume = 19.787 A^3/atom
Raw formation energy = 1.20 eV per formula unit
Energy above the lowest structure with this stoichiometry = 0 kJ/mol of formula units

a b c (Å): 3.7617 3.7617 19.3759
angles (deg): 90.00 90.00 120.00
With the nearest neighbours (Å) after each atom.
Space group R-3m (No. 166, hexagonal axes)
One atom of each set of equivalent atoms:
P: 0.0000 0.0000 0.0000 [3 per cell]  6 Se 2.62
Se: 0.0000 0.0000 0.2579 [6 per cell]  3 P 2.62, 3 Se 2.80
Se: 0.0000 0.0000 0.5000 [3 per cell]  6 Se 2.80

---

Computed, not measured: a crystal of U2CS relaxed with PBEsol at the SCAN level of DFT.

Values from the calculation:
Magnetic moment = 3.205 μB/f.u.
Calculated volume = 17.032 A^3/atom
Raw formation energy = -2.62 eV per formula unit

a b c (Å): 3.5655 3.5655 18.5636
angles (deg): 90.00 90.00 120.00
With the nearest neighbours (Å) after each atom.
Space group R-3m (No. 166, hexagonal axes)
One atom of each set of equivalent atoms:
U: 0.0000 0.0000 0.2392 [6 per cell]  3 C 2.46, 3 S 2.70
C: 0.0000 0.0000 0.5000 [3 per cell]  6 U 2.46
S: 0.0000 0.0000 0.0000 [3 per cell]  6 U 2.70

---

Question: Which of these has the highest magnetic moment?
Answer: KMnCu2